(1)
The following is a meta-GGA SCAN calculation of ScBeIr2 at its PBEsol-relaxed geometry, from Alexandria.

## Properties
For the density of states at the Fermi level, the calculation gives 2.1 states/eV/f.u. As for the formation energy: -878 meV per atom. For the magnetization, the calculation gives 0.00 μB per formula unit. Its total DFT energy (no corrections) is -41.075 eV per atom.

```
ScBeIr2
1.0
2.989 0.000 0.000
0.000 2.989 0.000
0.000 0.000 6.055
Sc Be Ir
1 1 2
Cartesian
0.000 0.000 0.000
0.000 0.000 3.028
1.494 1.494 1.704
1.494 1.494 4.351
```


(2)
The following is a meta-GGA SCAN calculation of ScBe2Ir at its PBEsol-relaxed geometry, from Alexandria.

## Properties
For the density of states at the Fermi level, the calculation gives 2.0 states/eV/f.u. As for the formation energy: -348 meV per atom. For the magnetization, the calculation gives 0.00 μB per formula unit. Its total DFT energy (no corrections) is -23.859 eV per atom.

```
ScBe2Ir
1.0
3.666 0.000 0.000
0.000 3.666 0.000
0.000 0.000 3.860
Sc Be Ir
1 2 1
Cartesian
0.000 0.000 0.000
0.000 1.833 1.930
1.833 0.000 1.930
1.833 1.833 0.000
```